Na3Ni2O4 | the Alexandria database | GGA+U | relaxed; electronic total energy = -4.322 eV/atom
1.0
2.837 -3.978 0.000
2.837 3.978 0.000
0.000 0.000 10.508
Na Ni O
6 4 8
Direct
0.150 0.850 0.561
0.150 0.850 0.939
0.184 0.816 0.250
0.816 0.184 0.750
0.850 0.150 0.061
0.850 0.150 0.439
0.428 0.572 0.750
0.500 0.500 0.000
0.500 0.500 0.500
0.572 0.428 0.250
0.202 0.362 0.619
0.202 0.362 0.881
0.362 0.202 0.119
0.362 0.202 0.381
0.638 0.798 0.619
0.638 0.798 0.881
0.798 0.638 0.119
0.798 0.638 0.381